1.
Computed, not measured: CrCuAs2C after structural relaxation at the PBE level of DFT.

Cell lengths 4.6776, 4.6776, 3.7140 Å; angles 90.00, 90.00, 90.00 degrees
Closest atoms and distances in Å follow each position.
Space group P4/mmm (No. 123)
Asymmetric unit:
1 Cr 0.0000 0.0000 0.0000  2 C 1.86
2 Cu 0.5000 0.5000 0.5000  8 As 2.99, 4 C 3.31
3 As 0.0000 0.5000 0.0000  2 Cr 2.34
4 C 0.0000 0.0000 0.5000  2 Cr 1.86

Results
As for the formation energy: 0.897 eV per atom.



2.
Computed, not measured: NdHo2ScSe4 after structural relaxation at the PBE level of DFT.

Cell lengths 7.0059, 4.0145, 7.1395 Å; angles 90.00, 108.85, 90.00 degrees
Closest atoms and distances in Å follow each position.
Space group P2/m (No. 10)
Asymmetric unit:
1 Nd 0.0000 0.0000 0.0000  6 Se 2.94
2 Ho 0.5000 0.0000 0.5000  6 Se 2.81-2.82
3 Ho 0.5000 0.5000 0.0000  6 Se 2.93
4 Sc 0.0000 0.5000 0.5000  6 Se 2.82-2.83
5 Se 0.2464 0.0000 0.7365  3 Ho 2.82-2.93, 2 Sc 2.82, 1 Nd 2.94
6 Se 0.2560 0.5000 0.2646  3 Ho 2.81-2.93, 1 Sc 2.83, 2 Nd 2.94

Results
Its formation energy (no corrections) is -1.694 eV/atom.



3.
Computed, not measured: K2Ba2Mg after structural relaxation at the PBE level of DFT.

Cell lengths 4.9550, 4.9550, 23.6353 Å; angles 90.00, 90.00, 90.00 degrees
Closest atoms and distances in Å follow each position.
Space group I4/mmm (No. 139)
Asymmetric unit:
1 K 0.0000 0.5000 0.2500  4 K 3.50
2 Ba 0.0000 0.0000 0.0830  1 Ba 3.92, 4 Mg 4.02
3 Mg 0.0000 0.0000 0.5000  8 Ba 4.02

Results
As for the formation energy: 0.227 eV per atom.



4.
Computed, not measured: LiGeAu2O6 after structural relaxation at the PBE level of DFT.

Cell lengths 11.4203, 7.8903, 6.6907 Å; angles 90.00, 107.98, 90.00 degrees
Closest atoms and distances in Å follow each position.
Space group C2/c (No. 15)
Asymmetric unit:
1 Li 0.0000 0.1880 0.2500  4 O 2.12-2.15
2 Ge 0.0000 0.1754 0.7500  4 O 1.78-1.79
3 Au 0.2069 0.3900 0.0798  2 O 2.02-2.04
4 O 0.0304 0.3015 0.9827  1 Ge 1.79
5 O 0.1203 0.0254 0.7757  1 Ge 1.78
6 O 0.2044 0.2962 0.4541  1 O 1.26

Results
Its formation energy (no corrections) is -0.688 eV/atom.